! HoTmThPa (GGA-PBE, relaxed); values from VASP
&SYSTEM
  ibrav = 0, nat = 4, ntyp = 4
/
ATOMIC_SPECIES
Ho 164.93 Ho.upf
Tm 168.93 Tm.upf
Th 232.04 Th.upf
Pa 231.04 Pa.upf
ATOMIC_POSITIONS angstrom
Ho 0.000 0.000 0.000
Tm 5.859 5.859 5.859
Th 1.953 1.953 1.953
Pa 3.906 3.906 3.906
CELL_PARAMETERS angstrom
0.000 3.906 3.906
3.906 0.000 3.906
3.906 3.906 0.000
! density	11.1	g cm⁻³
! total DFT energy (no corrections)	-6.1406	eV per atom
! V	119.2	Å³/cell

! Tm3AgPd (GGA-PBE, relaxed); values from VASP
&SYSTEM
  ibrav = 0, nat = 10, ntyp = 3
/
ATOMIC_SPECIES
Tm 168.93 Tm.upf
Ag 107.87 Ag.upf
Pd 106.42 Pd.upf
ATOMIC_POSITIONS angstrom
Tm 2.486 8.344 3.726
Tm 2.486 4.817 3.726
Tm 2.486 1.304 3.726
Tm 2.486 -1.304 1.242
Tm 2.486 -4.817 1.242
Tm 2.486 -8.344 1.242
Ag 2.486 6.601 1.242
Ag 2.486 -6.601 3.726
Pd 2.486 3.101 1.242
Pd 2.486 -3.101 3.726
CELL_PARAMETERS angstrom
2.486 -9.647 0.000
2.486 9.647 0.000
0.000 0.000 4.968
! density	10.1	g cm⁻³
! total DFT energy (no corrections)	-4.7699	eV per atom
! offset from the most stable computed form	0	meV per atom
! V	238.3	Å³/cell

! CdTcOs2 (GGA-PBE, relaxed); values from VASP
&SYSTEM
  ibrav = 0, nat = 8, ntyp = 3
/
ATOMIC_SPECIES
Cd 112.41 Cd.upf
Tc 98.00 Tc.upf
Os 190.23 Os.upf
ATOMIC_POSITIONS angstrom
Cd 0.000 0.000 0.000
Cd 0.000 3.677 1.328
Tc 3.677 0.000 1.328
Tc 0.000 0.000 2.655
Os 1.839 -1.446 1.992
Os 2.231 1.839 0.664
Os 1.839 5.123 -0.664
Os 1.446 1.839 3.319
CELL_PARAMETERS angstrom
-3.677 3.677 2.655
3.677 -3.677 2.655
3.677 3.677 -2.655
! density	13.7	g cm⁻³
! total DFT energy (no corrections)	-7.4512	eV per atom
! V	143.6	Å³/cell

! La2AlSnRu (GGA-PBE, relaxed); values from VASP
&SYSTEM
  ibrav = 0, nat = 5, ntyp = 4
/
ATOMIC_SPECIES
La 138.91 La.upf
Al 26.98 Al.upf
Sn 118.71 Sn.upf
Ru 101.07 Ru.upf
ATOMIC_POSITIONS angstrom
La 0.000 2.692 0.000
La 2.692 0.000 0.000
Al 0.000 0.000 2.434
Sn 2.692 2.692 2.434
Ru 0.000 0.000 0.000
CELL_PARAMETERS angstrom
5.384 0.000 0.000
0.000 5.384 0.000
0.000 0.000 4.867
! density	6.2	g cm⁻³
! total DFT energy (no corrections)	-5.8229	eV per atom
! V	141.1	Å³/cell

! FeTcBr2 (GGA-PBE, relaxed); values from VASP
&SYSTEM
  ibrav = 0, nat = 4, ntyp = 3
/
ATOMIC_SPECIES
Fe 55.84 Fe.upf
Tc 98.00 Tc.upf
Br 79.90 Br.upf
ATOMIC_POSITIONS angstrom
Fe 0.000 0.000 0.000
Tc 3.161 3.161 3.161
Br 1.581 1.581 1.581
Br 4.742 4.742 4.742
CELL_PARAMETERS angstrom
0.000 3.161 3.161
3.161 0.000 3.161
3.161 3.161 0.000
! raw formation energy	1.1101	eV/atom
! density	8.2	g cm⁻³
! total DFT energy (no corrections)	-4.4335	eV per atom
! offset from the most stable computed form	957	meV per atom
! V	63.2	Å³/cell

! Gd3Hg5O12 (GGA-PBE, relaxed); values from VASP
&SYSTEM
  ibrav = 0, nat = 80, ntyp = 3
/
ATOMIC_SPECIES
Gd 157.25 Gd.upf
Hg 200.59 Hg.upf
O 16.00 O.upf
ATOMIC_POSITIONS angstrom
Gd 3.361 1.680 0.000
Gd 6.722 3.361 -1.680
Gd 1.680 0.000 3.361
Gd 8.402 0.000 3.361
Gd 0.000 3.361 1.680
Gd 3.361 -1.680 6.722
Gd 3.361 8.402 0.000
Gd 6.722 3.361 5.041
Gd -1.680 6.722 3.361
Gd 5.041 6.722 3.361
Gd 0.000 3.361 8.402
Gd 3.361 5.041 6.722
Hg 0.000 0.000 0.000
Hg 3.361 3.361 -3.361
Hg 3.361 -3.361 3.361
Hg 6.722 0.000 0.000
Hg 10.083 1.680 0.000
Hg 6.722 -3.361 5.041
Hg 5.041 6.722 -3.361
Hg 5.041 0.000 3.361
Hg 3.361 5.041 0.000
Hg 6.722 3.361 1.680
Hg -3.361 3.361 3.361
Hg 0.000 6.722 0.000
Hg 0.000 0.000 6.722
Hg 3.361 3.361 3.361
Hg 0.000 3.361 5.041
Hg 3.361 1.680 6.722
Hg 1.680 6.722 3.361
Hg 1.680 0.000 10.083
Hg 0.000 10.083 1.680
Hg -3.361 5.041 6.722
O 2.053 -0.164 0.922
O 8.030 4.282 -3.525
O 8.774 0.164 0.922
O 8.030 -2.439 3.525
O 6.558 -0.922 2.053
O 10.246 -1.308 2.439
O 0.922 2.053 -0.164
O 9.161 3.197 -1.308
O 4.282 3.525 -1.308
O 5.800 2.053 0.164
O -0.164 0.922 2.053
O 3.525 -1.308 4.282
O 6.558 5.800 -2.053
O 3.525 1.308 2.439
O 4.282 -3.525 8.030
O 5.800 -2.053 6.558
O 2.439 3.525 1.308
O 7.643 4.669 0.164
O 3.525 8.030 -2.439
O 6.558 0.922 4.669
O 2.053 6.558 -0.922
O 8.030 2.439 3.197
O 1.308 2.439 3.525
O 2.053 0.164 5.800
O 4.669 6.558 0.922
O 5.413 4.282 3.197
O -1.308 4.282 3.525
O 4.669 0.164 7.643
O 0.164 5.800 2.053
O 3.197 -1.308 9.161
O -0.922 2.053 6.558
O 4.282 3.197 5.413
O 0.922 8.774 0.164
O 2.439 10.246 -1.308
O 3.197 5.413 4.282
O 0.164 0.922 8.774
O 3.197 8.030 2.439
O 6.885 5.800 4.669
O 0.922 4.669 6.558
O 2.439 3.197 8.030
O -2.439 3.525 8.030
O 5.800 4.669 6.885
O -3.525 8.030 4.282
O 0.164 7.643 4.669
O -1.308 9.161 3.197
O -2.053 6.558 5.800
O -1.308 2.439 10.246
O 4.669 6.885 5.800
CELL_PARAMETERS angstrom
-6.722 6.722 6.722
6.722 -6.722 6.722
6.722 6.722 -6.722
! raw formation energy	-1.2020	eV/atom
! density	9.1	g cm⁻³
! total DFT energy (no corrections)	-6.3646	eV per atom
! V	1214.8	Å³/cell

! Ac2AlIrO6 (GGA-PBE, relaxed); values from VASP
&SYSTEM
  ibrav = 0, nat = 10, ntyp = 4
/
ATOMIC_SPECIES
Ac 227.00 Ac.upf
Al 26.98 Al.upf
Ir 192.22 Ir.upf
O 16.00 O.upf
ATOMIC_POSITIONS angstrom
Ac 1.983 1.983 1.983
Ac 5.950 5.950 5.950
Al 0.000 0.000 0.000
Ir 3.966 3.966 3.966
O 3.966 3.966 1.903
O 3.966 1.903 3.966
O 6.030 3.966 3.966
O 1.903 3.966 3.966
O 3.966 6.030 3.966
O 3.966 3.966 6.030
CELL_PARAMETERS angstrom
0.000 3.966 3.966
3.966 0.000 3.966
3.966 3.966 0.000
! raw formation energy	-2.5693	eV/atom
! density	10.2	g cm⁻³
! total DFT energy (no corrections)	-7.6262	eV per atom
! V	124.8	Å³/cell

! NdTl2Hg2Te4 (GGA-PBE, relaxed); values from VASP
&SYSTEM
  ibrav = 0, nat = 9, ntyp = 4
/
ATOMIC_SPECIES
Nd 144.24 Nd.upf
Tl 204.38 Tl.upf
Hg 200.59 Hg.upf
Te 127.60 Te.upf
ATOMIC_POSITIONS angstrom
Nd 0.000 0.000 0.000
Tl 0.740 0.000 4.529
Tl 13.189 0.000 3.626
Hg 5.491 0.000 0.164
Hg 8.438 0.000 7.991
Te 2.867 0.000 1.717
Te 6.358 0.000 5.969
Te 7.572 0.000 2.186
Te 11.062 0.000 6.438
CELL_PARAMETERS angstrom
8.226 -2.274 0.000
8.226 2.274 0.000
-2.522 0.000 8.155
! raw formation energy	-0.4876	eV/atom
! density	8.0	g cm⁻³
! total DFT energy (no corrections)	-3.0066	eV per atom
! V	305.1	Å³/cell